DFT (PBE) results for LiZnN3 after structural relaxation.

a = 3.893 Å, b = 3.893 Å, c = 3.893 Å
α = 90.00°, β = 90.00°, γ = 90.00°
Last column: magnetic moment on the atom in μB.
Fractional positions:
Zn: 0.000 0.000 0.000  0.01
Li: 0.500 0.500 0.500  -0.01
N: 0.000 0.500 0.000  0.79
N: 0.000 0.000 0.500  0.75
N: 0.500 0.000 0.000  0.81

DFT total energy	-19.27	eV for the cell shown
space group	Pm-3m
D(E_F)	3.5	states/eV/f.u.